[1]
This record from the Alexandria database describes an optimized crystal structure of Sc2HgOs. The functional is GGA-PBE.

a b c (Å): 6.2699 6.2699 6.2699
angles (deg): 55.41 151.53 133.52
Fractional coordinates of all 4 atoms:
Sc 0.0000 0.2212 0.2212
Sc 0.0000 0.7788 0.7788
Hg 0.0000 0.5000 0.5000
Os 0.0000 0.0000 0.0000

The value obtained for the formation energy is 54 kJ per mole of atoms. The space-group type is Immm. The calculation puts the magnetization at 0.0 μB/cell.

[2]
This record from the Alexandria database describes an optimized crystal structure of ScHgOs2. The functional is GGA-PBE.

a b c (Å): 5.0392 5.0392 4.8408
angles (deg): 78.29 78.29 34.54
Fractional coordinates of all 4 atoms:
Hg 0.2574 0.2574 0.2571
Os 0.0089 0.0089 0.9615
Os 0.7377 0.7377 0.7798
Sc 0.4960 0.4960 0.5016

The value obtained for the formation energy is 24 kJ per mole of atoms. The space-group type is Cm. The calculation puts the magnetization at 0.0 μB/cell.

[3]
This record from the Alexandria database describes an optimized crystal structure of Sc4HgOs. The functional is GGA-PBE.

a b c (Å): 5.5155 5.5155 5.5155
angles (deg): 60.00 60.00 60.00
Fractional coordinates of all 6 atoms:
Sc 0.8821 0.3726 0.3726
Sc 0.3726 0.3726 0.8821
Sc 0.3726 0.8821 0.3726
Sc 0.3726 0.3726 0.3726
Hg 0.7500 0.7500 0.7500
Os 0.0000 0.0000 0.0000

The value obtained for the formation energy is 39 kJ per mole of atoms. The space-group type is F-43m. The energy above the lowest structure with this stoichiometry is 0.769 eV per atom. The calculation puts the magnetization at 0.0 μB/cell.

[4]
This record from the Alexandria database describes an optimized crystal structure of Sc2HgOs2. The functional is GGA-PBE.

a b c (Å): 6.9522 6.9522 3.9810
angles (deg): 90.00 90.00 90.00
Fractional coordinates of all 10 atoms:
Sc 0.1756 0.6756 0.5000
Sc 0.6756 0.8244 0.5000
Sc 0.8244 0.3244 0.5000
Sc 0.3244 0.1756 0.5000
Os 0.3771 0.8771 0.0000
Os 0.8771 0.6229 0.0000
Os 0.6229 0.1229 0.0000
Os 0.1229 0.3771 0.0000
Hg 0.0000 0.0000 0.0000
Hg 0.5000 0.5000 0.0000

The value obtained for the formation energy is -7 kJ per mole of atoms. The space-group type is P4/mbm. The calculation puts the magnetization at 0.0 μB/cell.

[5]
This record from the Alexandria database describes an optimized crystal structure of ScHgOs2. The functional is GGA-PBE.

a b c (Å): 5.1350 5.1350 5.1350
angles (deg): 134.40 134.40 66.46
Fractional coordinates of all 4 atoms:
Hg 0.7500 0.2500 0.5000
Os 0.0000 0.0000 0.0000
Os 0.5000 0.5000 0.0000
Sc 0.2500 0.7500 0.5000

The value obtained for the formation energy is 37 kJ per mole of atoms. The space-group type is I4/mmm. The calculation puts the magnetization at 0.0 μB/cell.

[6]
This record from the Alexandria database describes an optimized crystal structure of Sc2HgOs. The functional is GGA-PBE.

a b c (Å): 4.7180 4.7180 4.7180
angles (deg): 60.00 60.00 60.00
Fractional coordinates of all 4 atoms:
Hg 0.5000 0.5000 0.5000
Os 0.2500 0.2500 0.2500
Sc 0.0000 0.0000 0.0000
Sc 0.7500 0.7500 0.7500

The value obtained for the formation energy is 0 kJ per mole of atoms. The space-group type is F-43m. The calculation puts the magnetization at 0.0 μB/cell.

[7]
This record from the Alexandria database describes an optimized crystal structure of ScHgOs2. The functional is GGA-PBE.

a b c (Å): 4.0466 4.0466 10.0676
angles (deg): 78.41 78.41 90.00
Fractional coordinates of all 8 atoms:
Sc 0.5000 0.5000 0.0000
Sc 0.2500 0.7500 0.5000
Os 0.5397 0.1250 0.2500
Os 0.2103 0.6250 0.2500
Os 0.3750 0.4603 0.7500
Os 0.8750 0.7897 0.7500
Hg 0.0000 0.0000 0.0000
Hg 0.7500 0.2500 0.5000

The value obtained for the formation energy is 56 kJ per mole of atoms. The space-group type is I-42d. The calculation puts the magnetization at 0.0 μB/cell.

[8]
This record from the Alexandria database describes an optimized crystal structure of Sc2HgOs. The functional is GGA-PBE.

a b c (Å): 3.2876 3.2876 7.0965
angles (deg): 90.00 90.00 90.00
Fractional coordinates of all 4 atoms:
Sc 0.0000 0.0000 0.9670
Sc 0.0000 0.0000 0.5330
Os 0.5000 0.5000 0.7500
Hg 0.5000 0.5000 0.2500

The value obtained for the formation energy is -48 kJ per mole of atoms. The space-group type is P4/mmm. The calculation puts the magnetization at 0.0 μB/cell.